1.
CuAgS2N | GGA-PBE | relaxed

Geometry as POSCAR:
```
CuAgS2N
1.0
4.943 0.000 0.000
0.000 4.943 0.000
0.000 0.000 3.847
Cu Ag S N
1 1 2 1
direct
0.000 0.000 0.000
0.500 0.500 0.500
0.000 0.500 0.500
0.500 0.000 0.500
0.500 0.500 0.000
```

formation energy from raw total energies = 1572 meV per atom
total DFT energy (no corrections) = -3.13 eV/atom
size of the total moment = 0.00 μB per cell
polymorph energy (0 for the lowest one) = 2.883 eV per formula unit
ρ = 4.4 g/cm³

2.
CuAgS2N | GGA-PBE | relaxed

Geometry as POSCAR:
```
CuAgS2N
1.0
4.764 0.000 0.000
0.000 4.764 0.000
0.000 0.000 3.625
Cu Ag S N
1 1 2 1
direct
0.000 0.000 0.000
0.500 0.500 0.500
0.000 0.500 0.000
0.500 0.000 0.000
0.000 0.000 0.500
```

formation energy from raw total energies = 996 meV per atom
total DFT energy (no corrections) = -3.71 eV/atom
size of the total moment = 1.80 μB per cell
polymorph energy (0 for the lowest one) = 0.000 eV per formula unit
ρ = 5.0 g/cm³

3.
CuAgSN2 | GGA-PBE | relaxed

Geometry as POSCAR:
```
CuAgSN2
1.0
3.705 0.000 0.000
0.000 3.705 0.000
0.000 0.000 5.668
Cu Ag S N
1 1 1 2
direct
0.000 0.000 0.000
0.500 0.500 0.500
0.000 0.000 0.500
0.000 0.500 0.000
0.500 0.000 0.000
```

formation energy from raw total energies = 1463 meV per atom
total DFT energy (no corrections) = -4.08 eV/atom
size of the total moment = 3.67 μB per cell
polymorph energy (0 for the lowest one) = 0.000 eV per formula unit
ρ = 4.9 g/cm³

4.
CuAgSeN2 | GGA-PBE | relaxed

Geometry as POSCAR:
```
CuAgSeN2
1.0
3.996 0.000 0.000
0.000 3.996 0.000
0.000 0.000 5.817
Cu Ag Se N
1 1 1 2
direct
0.000 0.000 0.000
0.500 0.500 0.500
0.500 0.500 0.000
0.000 0.500 0.500
0.500 0.000 0.500
```

formation energy from raw total energies = 1865 meV per atom
total DFT energy (no corrections) = -3.55 eV/atom
size of the total moment = 3.86 μB per cell
polymorph energy (0 for the lowest one) = 2.255 eV per formula unit
ρ = 5.0 g/cm³

5.
CuAgSe2N | GGA-PBE | relaxed

Geometry as POSCAR:
```
CuAgSe2N
1.0
5.177 0.000 0.000
0.000 5.177 0.000
0.000 0.000 3.953
Cu Ag Se N
1 1 2 1
direct
0.000 0.000 0.000
0.500 0.500 0.500
0.000 0.500 0.500
0.500 0.000 0.500
0.500 0.500 0.000
```

formation energy from raw total energies = 1356 meV per atom
total DFT energy (no corrections) = -3.09 eV/atom
size of the total moment = 1.89 μB per cell
polymorph energy (0 for the lowest one) = 2.556 eV per formula unit
ρ = 5.4 g/cm³

6.
CuAgSeN2 | GGA-PBE | relaxed

Geometry as POSCAR:
```
CuAgSeN2
1.0
3.776 0.000 0.000
0.000 3.776 0.000
0.000 0.000 5.808
Cu Ag Se N
1 1 1 2
direct
0.000 0.000 0.000
0.500 0.500 0.500
0.000 0.000 0.500
0.000 0.500 0.000
0.500 0.000 0.000
```

formation energy from raw total energies = 1414 meV per atom
total DFT energy (no corrections) = -4.00 eV/atom
size of the total moment = 3.76 μB per cell
polymorph energy (0 for the lowest one) = 0.000 eV per formula unit
ρ = 5.6 g/cm³

7.
CuAgSe2N | GGA-PBE | relaxed

Geometry as POSCAR:
```
CuAgSe2N
1.0
5.094 0.000 0.000
0.000 5.094 0.000
0.000 0.000 3.526
Cu Ag Se N
1 1 2 1
direct
0.000 0.000 0.000
0.500 0.500 0.500
0.000 0.500 0.000
0.500 0.000 0.000
0.000 0.000 0.500
```

formation energy from raw total energies = 845 meV per atom
total DFT energy (no corrections) = -3.60 eV/atom
size of the total moment = 1.10 μB per cell
polymorph energy (0 for the lowest one) = 0.000 eV per formula unit
ρ = 6.2 g/cm³

8.
CuSiAg2N | GGA-PBE | relaxed

Geometry as POSCAR:
```
CuSiAg2N
1.0
4.602 0.000 0.000
0.000 4.602 0.000
0.000 0.000 3.679
Cu Si Ag N
1 1 2 1
direct
0.000 0.000 0.000
0.500 0.500 0.000
0.000 0.500 0.500
0.500 0.000 0.500
0.000 0.000 0.500
```

formation energy from raw total energies = 718 meV per atom
total DFT energy (no corrections) = -3.99 eV/atom
size of the total moment = 0.00 μB per cell
ρ = 6.9 g/cm³

9.
Sr2CuAgN | GGA-PBE | relaxed

Geometry as POSCAR:
```
Sr2CuAgN
1.0
7.025 0.000 0.000
0.000 4.045 0.000
-2.971 0.000 8.367
Sr Cu Ag N
4 2 2 2
direct
0.198 0.250 0.370
0.201 0.250 0.969
0.799 0.750 0.031
0.802 0.750 0.630
0.459 0.750 0.246
0.541 0.250 0.754
0.302 0.750 0.694
0.698 0.250 0.306
0.176 0.750 0.169
0.824 0.250 0.831
```

formation energy from raw total energies = -315 meV per atom
total DFT energy (no corrections) = -4.04 eV/atom
size of the total moment = 0.00 μB per cell
polymorph energy (0 for the lowest one) = 0.000 eV per formula unit
ρ = 5.0 g/cm³

10.
Sr2CuAgN | GGA-PBE | relaxed

Geometry as POSCAR:
```
Sr2CuAgN
1.0
5.427 0.000 0.000
0.000 5.427 0.000
0.000 0.000 3.786
Sr Cu Ag N
2 1 1 1
direct
0.000 0.500 0.000
0.500 0.000 0.000
0.000 0.000 0.500
0.500 0.500 0.500
0.000 0.000 0.000
```

formation energy from raw total energies = -311 meV per atom
total DFT energy (no corrections) = -4.04 eV/atom
size of the total moment = 0.00 μB per cell
polymorph energy (0 for the lowest one) = 0.020 eV per formula unit
ρ = 5.4 g/cm³

11.
TaCu2AgN | GGA-PBE | relaxed

Geometry as POSCAR:
```
TaCu2AgN
1.0
4.658 0.000 0.000
0.000 4.658 0.000
0.000 0.000 3.825
Ta Cu Ag N
1 2 1 1
direct
0.000 0.000 0.000
0.000 0.500 0.500
0.500 0.000 0.500
0.500 0.500 0.500
0.500 0.500 0.000
```

formation energy from raw total energies = 1765 meV per atom
total DFT energy (no corrections) = -4.48 eV/atom
size of the total moment = 0.25 μB per cell
ρ = 8.6 g/cm³

12.
CuAgTeN2 | GGA-PBE | relaxed

Geometry as POSCAR:
```
CuAgTeN2
1.0
4.030 0.000 0.000
0.000 4.030 0.000
0.000 0.000 6.341
Cu Ag Te N
1 1 1 2
direct
0.000 0.000 0.000
0.500 0.500 0.500
0.500 0.500 0.000
0.000 0.500 0.500
0.500 0.000 0.500
```

formation energy from raw total energies = 1800 meV per atom
total DFT energy (no corrections) = -3.55 eV/atom
size of the total moment = 3.74 μB per cell
polymorph energy (0 for the lowest one) = 1.739 eV per formula unit
ρ = 5.3 g/cm³

13.
CuAgTeN2 | GGA-PBE | relaxed

Geometry as POSCAR:
```
CuAgTeN2
1.0
3.915 0.000 0.000
0.000 3.915 0.000
0.000 0.000 5.781
Cu Ag Te N
1 1 1 2
direct
0.000 0.000 0.000
0.500 0.500 0.500
0.000 0.000 0.500
0.000 0.500 0.000
0.500 0.000 0.000
```

formation energy from raw total energies = 1452 meV per atom
total DFT energy (no corrections) = -3.90 eV/atom
size of the total moment = 3.59 μB per cell
polymorph energy (0 for the lowest one) = 0.000 eV per formula unit
ρ = 6.1 g/cm³

14.
V2CuAgN | GGA-PBE | relaxed

Geometry as POSCAR:
```
V2CuAgN
1.0
3.907 0.000 0.000
0.000 3.907 0.000
0.000 0.000 4.143
V Cu Ag N
2 1 1 1
direct
0.000 0.500 0.000
0.500 0.000 0.000
0.000 0.000 0.500
0.500 0.500 0.500
0.000 0.000 0.000
```

formation energy from raw total energies = -115 meV per atom
total DFT energy (no corrections) = -6.82 eV/atom
size of the total moment = 0.00 μB per cell
ρ = 7.5 g/cm³

15.
Y2CuAgN | GGA-PBE | relaxed

Geometry as POSCAR:
```
Y2CuAgN
1.0
4.872 0.000 0.000
0.000 4.872 0.000
0.000 0.000 3.897
Y Cu Ag N
2 1 1 1
direct
0.000 0.500 0.000
0.500 0.000 0.000
0.000 0.000 0.500
0.500 0.500 0.500
0.000 0.000 0.000
```

formation energy from raw total energies = -581 meV per atom
total DFT energy (no corrections) = -6.22 eV/atom
size of the total moment = 0.00 μB per cell
ρ = 6.5 g/cm³

16.
Na2Cu2Ag | GGA-PBE | relaxed

Geometry as POSCAR:
```
Na2Cu2Ag
1.0
6.628 0.000 0.000
0.000 6.628 0.000
0.000 0.000 4.591
Na Cu Ag
4 4 2
direct
0.178 0.322 0.000
0.322 0.822 0.000
0.678 0.178 0.000
0.822 0.678 0.000
0.127 0.627 0.500
0.373 0.127 0.500
0.627 0.873 0.500
0.873 0.373 0.500
0.000 0.000 0.500
0.500 0.500 0.500
```

E_form = 97 kJ/mol of formula units
total DFT energy (no corrections) = -2.53 eV/atom
size of the total moment = 0.00 μB per cell
ρ = 4.6 g/cm³

17.
NaCu2Ag | GGA-PBE | relaxed

Geometry as POSCAR:
```
NaCu2Ag
1.0
6.378 0.000 0.000
0.000 6.378 0.000
0.000 0.000 6.378
Na Cu Ag
4 8 4
direct
0.000 0.000 0.000
0.000 0.500 0.500
0.500 0.000 0.500
0.500 0.500 0.000
0.250 0.250 0.250
0.250 0.250 0.750
0.250 0.750 0.250
0.250 0.750 0.750
0.750 0.250 0.250
0.750 0.250 0.750
0.750 0.750 0.250
0.750 0.750 0.750
0.000 0.000 0.500
0.000 0.500 0.000
0.500 0.000 0.000
0.500 0.500 0.500
```

E_form = 101 kJ/mol of formula units
total DFT energy (no corrections) = -2.83 eV/atom
size of the total moment = 0.00 μB per cell
polymorph energy (0 for the lowest one) = 0.000 eV per formula unit
ρ = 6.6 g/cm³

18.
NaCuAg2 | GGA-PBE | relaxed

Geometry as POSCAR:
```
NaCuAg2
1.0
2.939 0.000 0.000
0.000 2.939 0.000
0.000 0.000 8.384
Na Cu Ag
1 1 2
direct
0.000 0.000 0.000
0.000 0.000 0.500
0.500 0.500 0.290
0.500 0.500 0.710
```

E_form = 31 kJ/mol of formula units
total DFT energy (no corrections) = -2.70 eV/atom
size of the total moment = 0.00 μB per cell
polymorph energy (0 for the lowest one) = 0.000 eV per formula unit
ρ = 6.9 g/cm³

19.
Na2CuAg | GGA-PBE | relaxed

Geometry as POSCAR:
```
Na2CuAg
1.0
7.007 0.000 0.000
0.000 7.007 0.000
0.000 0.000 7.007
Na Cu Ag
8 4 4
direct
0.250 0.250 0.250
0.250 0.250 0.750
0.250 0.750 0.250
0.250 0.750 0.750
0.750 0.250 0.250
0.750 0.250 0.750
0.750 0.750 0.250
0.750 0.750 0.750
0.000 0.000 0.000
0.000 0.500 0.500
0.500 0.000 0.500
0.500 0.500 0.000
0.000 0.000 0.500
0.000 0.500 0.000
0.500 0.000 0.000
0.500 0.500 0.500
```

E_form = 87 kJ/mol of formula units
total DFT energy (no corrections) = -2.17 eV/atom
size of the total moment = 0.00 μB per cell
polymorph energy (0 for the lowest one) = 0.000 eV per formula unit
ρ = 4.2 g/cm³

20.
Na2CuAg | GGA-PBE | relaxed

Geometry as POSCAR:
```
Na2CuAg
1.0
8.029 0.000 0.000
0.000 8.029 0.000
0.000 0.000 5.475
Na Cu Ag
8 4 4
direct
0.234 0.750 0.125
0.250 0.234 0.875
0.250 0.266 0.375
0.266 0.750 0.625
0.734 0.250 0.625
0.750 0.734 0.375
0.750 0.766 0.875
0.766 0.250 0.125
0.000 0.000 0.000
0.000 0.500 0.250
0.500 0.000 0.750
0.500 0.500 0.500
0.000 0.000 0.500
0.000 0.500 0.750
0.500 0.000 0.250
0.500 0.500 0.000
```

E_form = 109 kJ/mol of formula units
total DFT energy (no corrections) = -2.11 eV/atom
size of the total moment = 0.00 μB per cell
polymorph energy (0 for the lowest one) = 0.227 eV per formula unit
ρ = 4.1 g/cm³